Entry from Alexandria via LeMat-Bulk: a relaxed Ca2ZrCl crystal (GGA-PBE).

```
Ca2ZrCl
1.0
3.811 -4.492 0.000
3.811 4.492 0.000
0.000 0.000 3.408
Ca Zr Cl
2 1 1
direct
0.000 0.500 0.000
0.500 0.000 0.000
0.000 0.000 0.500
0.500 0.500 0.500
```

Output
magnetic moment: 1.35 μB per formula unit
energy relative to the elements, uncorrected: -0.154 eV/atom